# 1
YZn2Re (PBE, relaxed); DOS at the Fermi energy = 2.30 states/eV/cell; offset from the most stable computed form = 333 meV/atom; E_form = 0.4042 eV per atom; electronic total energy = -4.96 eV/atom
1.0
9.8779 0.0115 0.0068
9.4475 2.8841 0.0068
9.4475 1.4156 2.5128
Re Y Zn
1 1 2
Direct
0.5087 0.5087 0.5087 Re
0.7499 0.7499 0.7499 Y
0.9923 0.9923 0.9923 Zn
0.2492 0.2492 0.2492 Zn

# 2
YZn2Re (PBE, relaxed); DOS at the Fermi energy = 1.80 states/eV/cell; offset from the most stable computed form = 30 meV/atom; E_form = 0.1010 eV per atom; electronic total energy = -5.26 eV/atom
1.0
-0.8581 2.0541 -2.6167
2.4921 -1.3932 -1.9109
-3.8508 -4.1510 -1.9956
Re Y Zn
1 1 2
Direct
0.5000 0.5000 0.2500 Re
0.5000 0.5000 0.7500 Y
0.0000 0.0000 0.0455 Zn
0.0000 0.0000 0.4545 Zn